(1)
Here is an optimized crystal structure of YPu2Sc3S6 from Alexandria. Energies are from PBE.

Cell: 6.5920 6.5920 6.6417 Å, 99.51 99.51 120.05°
Element x y z (fractional)
Pu 0.6667 0.3333 0.0000
Pu 0.3333 0.6667 0.0000
S 0.7566 0.7566 0.2683
S 0.2434 0.2434 0.7317
S 0.5779 0.9106 0.7320
S 0.4221 0.0894 0.2680
S 0.9106 0.5779 0.7320
S 0.0894 0.4221 0.2680
Sc 0.5000 0.5000 0.5000
Sc 0.1664 0.8336 0.5000
Sc 0.8336 0.1664 0.5000
Y 0.0000 0.0000 0.0000

Calculated values
Space-group type: C2/m (12)
Raw total energy in eV per cell: -101.29
Magnetic moment in μB/atom: 0.9530
DOS at the Fermi energy in states/eV per cell: 16.95
Raw formation energy in meV/atom: -1867


(2)
Here is an optimized crystal structure of Y4Pu3ScS8 from Alexandria. Energies are from PBE.

Cell: 7.7966 7.8241 7.7966 Å, 119.88 120.00 90.00°
Element x y z (fractional)
Pu 0.0000 0.5000 0.5000
Pu 0.5000 0.5000 0.5000
Pu 0.5000 0.5000 0.0000
S 0.7568 0.7465 0.0016
S 0.7552 0.2535 0.5104
S 0.2448 0.7465 0.4896
S 0.7506 0.7519 0.5013
S 0.2448 0.7465 0.0016
S 0.2432 0.2535 0.9984
S 0.2494 0.2481 0.4987
S 0.7552 0.2535 0.9984
Sc 0.0000 0.5000 0.0000
Y 0.5000 0.0000 0.5000
Y 0.0000 0.0000 0.0000
Y 0.5000 0.0000 0.0000
Y 0.0000 0.0000 0.5000

Calculated values
Space-group type: R-3m (166)
Raw total energy in eV per cell: -138.78
Magnetic moment in μB/atom: 1.0738
DOS at the Fermi energy in states/eV per cell: 22.70
Raw formation energy in meV/atom: -1911


(3)
Here is an optimized crystal structure of Pu3ZrSc3S8 from Alexandria. Energies are from PBE.

Cell: 7.5527 7.5527 7.6445 Å, 119.60 90.00 120.00°
Element x y z (fractional)
S 0.7524 0.5047 0.2657
S 0.2477 0.9867 0.7343
S 0.2560 0.5120 0.2680
S 0.7440 0.4880 0.7320
S 0.2610 0.0133 0.2657
S 0.7523 0.0133 0.2657
S 0.7390 0.9867 0.7343
S 0.2476 0.4953 0.7343
Pu 0.0000 0.5000 0.0000
Pu 0.0000 0.0000 0.0000
Pu 0.5000 0.5000 0.0000
Zr 0.0000 0.0000 0.5000
Sc 0.5000 0.5000 0.5000
Sc 0.0000 0.5000 0.5000
Sc 0.5000 0.0000 0.5000

Calculated values
Space-group type: R-3m (166)
Raw total energy in eV per cell: -130.66
Magnetic moment in μB/atom: 1.1377
DOS at the Fermi energy in states/eV per cell: 27.14
Raw formation energy in meV/atom: -1807